1.
An optimized crystal structure of La2BeP4Rh3, computed with PBE.

Results
N(E_F)	0.39	states/eV/atom
VASP energy	-6.726	eV per atom
ΔH_f (0 K)	-999	meV per atom

```
La2BeP4Rh3
1.0
4.202 0.000 0.000
0.000 4.202 0.000
0.000 0.000 9.574
La Be P Rh
2 1 4 3
Cartesian
0.000 2.101 2.347 La
2.101 0.000 7.227 La
0.000 0.000 4.787 Be
0.000 0.000 0.000 P
0.000 2.101 6.043 P
2.101 0.000 3.531 P
2.101 2.101 0.000 P
0.000 2.101 8.496 Rh
2.101 0.000 1.077 Rh
2.101 2.101 4.787 Rh
```

***

2.
An optimized crystal structure of Ba2CdIr, computed with PBE.

Results
N(E_F)	0.81	states/eV/atom
VASP energy	-3.442	eV per atom
ΔH_f (0 K)	-37	meV per atom

```
Ba2CdIr
1.0
-1.954 2.723 6.165
1.954 -2.723 6.165
1.954 2.723 -6.165
Ba Cd Ir
2 1 1
Cartesian
0.000 0.000 0.000 Ba
0.000 2.723 2.375 Ba
0.000 0.000 4.599 Cd
1.954 0.000 2.590 Ir
```

***

3.
An optimized crystal structure of CrCuSn2Br, computed with PBE.

Results
N(E_F)	0.69	states/eV/atom
VASP energy	-4.264	eV per atom
energy relative to the elements, uncorrected	2.08	eV/f.u.

```
CrCuSn2Br
1.0
5.004 0.000 0.000
0.000 5.004 0.000
0.000 0.000 5.177
Cr Cu Sn Br
1 1 2 1
Cartesian
0.000 0.000 0.000 Cr
0.000 0.000 2.588 Cu
0.000 2.502 2.588 Sn
2.502 0.000 2.588 Sn
2.502 2.502 0.000 Br
```

***

| no. | magnetic moment (Bohr magnetons per cell) |
| --- | --- |
| 1 | 0.00 |
| 2 | 0.00 |
| 3 | 4.69 |